1.
DFT (PBE) results for Ta3NbAu after structural relaxation.

Calculated values
**Calculated formation energy**: -0.007 eV per atom
**Excess energy over the best structure of this formula in the dataset**: 0.0 kJ/mol of atoms
**Calculated volume**: 18.09 Å³ per atom
**Total moment**: 0.0 μB/f.u.
**DFT total energy**: -9.788 eV per atom

The structure in POSCAR format:
```
Ta3NbAu
1.0
5.347 0.313 -0.996
-1.677 6.835 -1.732
-1.879 -0.676 5.396
Ta Nb Au
6 2 2
Cartesian
-0.871 2.387 2.637
1.027 0.898 4.151
-0.467 -0.091 1.417
2.662 4.086 0.031
2.258 6.563 1.251
0.764 5.574 -1.483
-0.229 5.236 1.203
2.020 1.237 1.465
0.081 2.613 -0.107
1.710 3.860 2.775
```

=====

2.
DFT (PBE) results for ScBeAs2 after structural relaxation.

Calculated values
**Calculated formation energy**: -0.368 eV per atom
**Calculated volume**: 18.62 Å³ per atom
**Total moment**: 0.0 μB/f.u.
**DFT total energy**: -5.207 eV per atom

The structure in POSCAR format:
```
ScBeAs2
1.0
3.654 0.000 0.000
0.000 3.654 0.000
0.000 0.000 5.576
Sc Be As
1 1 2
Cartesian
1.827 1.827 4.519
0.000 0.000 2.636
0.000 0.000 4.952
1.827 1.827 1.835
```

=====

3.
DFT (PBE) results for TbPaPN2 after structural relaxation.

Calculated values
**Raw formation energy**: -1.329 eV per atom
**Calculated volume**: 18.21 Å³ per atom
**Total moment**: 0.0 μB/f.u.
**DFT total energy**: -8.566 eV per atom

The structure in POSCAR format:
```
TbPaPN2
1.0
-0.169 -0.142 3.856
-2.294 -3.099 -0.215
6.134 -2.014 -1.740
Tb Pa P N
1 1 1 2
Cartesian
2.161 -4.135 1.876
1.578 -1.170 0.026
-1.174 -1.664 1.822
2.304 -1.842 1.967
1.242 -3.320 -0.068
```

=====

4.
DFT (PBE) results for FeCu2Si after structural relaxation.

Calculated values
**Raw formation energy**: -0.028 eV per atom
**Calculated volume**: 11.61 Å³ per atom
**Total moment**: 1.5 μB/f.u.
**DFT total energy**: -5.548 eV per atom

The structure in POSCAR format:
```
FeCu2Si
1.0
4.035 0.000 0.000
2.017 3.494 0.000
2.017 1.165 3.294
Cu Fe Si
2 1 1
Cartesian
0.000 0.000 0.000
2.017 1.165 0.824
4.035 2.329 1.647
6.052 3.494 2.471
```

=====

5.
DFT (PBE) results for LiMn2Pt after structural relaxation.

Calculated values
**Calculated formation energy**: 0.267 eV per atom
**Calculated volume**: 15.96 Å³ per atom
**Total moment**: 8.1 μB/f.u.
**DFT total energy**: -6.307 eV per atom

The structure in POSCAR format:
```
LiMn2Pt
1.0
6.991 0.000 0.000
0.000 6.991 0.000
3.496 3.496 2.612
Mn Pt Li
4 2 2
Cartesian
5.271 1.748 0.653
1.720 5.243 0.653
5.243 5.216 1.959
8.739 8.766 1.959
0.000 0.000 0.000
6.991 3.496 1.306
3.496 3.496 0.000
3.496 6.991 1.306
```

=====

6.
DFT (PBE) results for Er2Ag2Pt after structural relaxation.

Calculated values
**Calculated formation energy**: -0.485 eV per atom
**Excess energy over the best structure of this formula in the dataset**: 11.9 kJ/mol of atoms
**Calculated volume**: 22.84 Å³ per atom
**Total moment**: 0.0 μB/f.u.
**DFT total energy**: -4.659 eV per atom

The structure in POSCAR format:
```
Er2Ag2Pt
1.0
-2.382 4.893 1.336
-5.608 -3.086 1.303
5.784 -1.652 4.610
Er Ag Pt
4 4 2
Cartesian
0.065 -1.135 4.272
-2.270 1.291 2.977
-3.368 -2.415 2.841
1.162 2.571 4.408
-1.720 0.743 5.965
-0.485 -0.587 1.284
-5.653 -0.328 2.877
3.447 0.484 4.373
-4.590 2.127 1.653
-3.400 -0.319 0.986
```

=====

7.
DFT (PBE) results for Ba2Tl2Cd after structural relaxation.

Calculated values
**Calculated formation energy**: -0.356 eV per atom
**Excess energy over the best structure of this formula in the dataset**: 0.0 kJ/mol of atoms
**Calculated volume**: 37.54 Å³ per atom
**Total moment**: 0.0 μB/f.u.
**DFT total energy**: -2.255 eV per atom

The structure in POSCAR format:
```
Ba2Tl2Cd
1.0
-1.790 -0.200 4.874
4.813 -2.026 4.454
1.899 10.829 3.910
Ba Tl Cd
4 4 2
Cartesian
0.888 2.911 5.985
1.325 8.902 9.160
4.033 5.692 7.254
3.597 -0.299 4.078
2.242 5.520 3.819
4.588 7.762 10.312
2.680 3.084 9.419
0.334 0.841 2.927
0.573 6.753 6.026
4.349 1.850 7.212
```

=====

8.
DFT (PBE) results for LuInPd2 after structural relaxation.

Calculated values
**Calculated formation energy**: -0.766 eV per atom
**Calculated volume**: 19.06 Å³ per atom
**Total moment**: 0.0 μB/f.u.
**DFT total energy**: -5.178 eV per atom

The structure in POSCAR format:
```
LuInPd2
1.0
3.484 0.000 0.000
0.000 4.677 0.000
0.000 0.000 4.677
Lu Pd In
1 2 1
Cartesian
1.742 2.339 2.339
0.000 0.000 2.339
0.000 2.339 0.000
1.742 0.000 0.000
```

=====

9.
DFT (PBE) results for Si2AgW after structural relaxation.

Calculated values
**Raw formation energy**: 0.517 eV per atom
**Excess energy over the best structure of this formula in the dataset**: 29.4 kJ/mol of atoms
**Calculated volume**: 15.90 Å³ per atom
**Total moment**: 0.0 μB/f.u.
**DFT total energy**: -6.146 eV per atom

The structure in POSCAR format:
```
Si2AgW
1.0
2.759 0.000 0.000
0.000 5.215 0.000
0.000 0.000 4.419
Ag Si W
1 2 1
Cartesian
0.000 2.608 2.209
0.000 0.000 0.000
1.380 2.608 0.000
1.380 0.000 2.209
```

=====

10.
DFT (PBE) results for Pm4Al2S after structural relaxation.

Calculated values
**Raw formation energy**: -0.762 eV per atom
**Calculated volume**: 27.72 Å³ per atom
**Total moment**: 0.0 μB/f.u.
**DFT total energy**: -5.135 eV per atom

The structure in POSCAR format:
```
Pm4Al2S
1.0
3.948 0.000 1.195
1.700 6.281 1.504
-0.202 0.139 7.784
S Al Pm
1 2 4
Cartesian
0.000 0.000 0.000
2.354 3.668 6.460
3.092 2.753 4.023
0.541 1.257 5.332
4.905 5.163 5.151
1.732 1.671 1.397
3.714 4.749 9.087
```

=====

11.
DFT (PBE) results for C3Se after structural relaxation.

Calculated values
**Raw formation energy**: 1.724 eV per atom
**Excess energy over the best structure of this formula in the dataset**: 38.7 kJ/mol of atoms
**Calculated volume**: 19.17 Å³ per atom
**Total moment**: 0.0 μB/f.u.
**DFT total energy**: -6.065 eV per atom

The structure in POSCAR format:
```
C3Se
1.0
5.467 -0.261 0.184
-1.082 5.365 -0.184
0.316 -4.707 2.781
C Se
3 1
Cartesian
0.705 -2.304 2.287
2.384 -0.350 2.287
1.545 -1.327 2.287
4.819 -4.140 2.471
```